one | Below is an optimized crystal structure of CaLa3Pm, with properties calculated at the GGA-PBE level.

Structure (extended XYZ):
```
10
Lattice="9.3886 -2.8820 0.0000 9.3886 2.8820 0.0000 -2.8267 0.0000 6.8328" Properties=species:S:1:pos:R:3 pbc="T T T"
Ca 1.7128 0.0000 0.7346
Ca 14.2378 0.0000 6.0981
La 0.2297 0.0000 4.1603
La 3.9865 0.0000 3.7569
La 7.2646 0.0000 5.0048
La 8.6860 0.0000 1.8280
La 11.9641 0.0000 3.0759
La 15.7209 0.0000 2.6725
Pm 5.4824 0.0000 0.3583
Pm 10.4682 0.0000 6.4744
```

Properties
SG: No. 12
Total magnetic moment, μB per formula unit: 0.00

=====

two | Below is an optimized crystal structure of CaLa3Pm, with properties calculated at the GGA-PBE level.

Structure (extended XYZ):
```
10
Lattice="3.1566 1.8225 11.9055 -3.1566 1.8225 11.9055 0.0000 -3.6449 11.9055" Properties=species:S:1:pos:R:3 pbc="T T T"
Ca 0.0000 0.0000 6.0324
Ca 0.0000 0.0000 29.6840
La -2.0827 0.1329 14.6936
La -1.1564 -1.7372 21.0228
La 0.9262 -1.8701 14.6936
La -0.9262 1.8701 21.0228
La 1.1564 1.7372 14.6936
La 2.0826 -0.1329 21.0228
Pm 0.0000 0.0000 11.8681
Pm 0.0000 0.0000 23.8483
```

Properties
SG: No. 148
Total magnetic moment, μB per formula unit: 0.00

=====

Verdict on stability: one comes out on top.

=====

one | Below is an optimized crystal structure of Ca2LaPm4, with properties calculated at the GGA-PBE level.

Structure (extended XYZ):
```
14
Lattice="5.5143 0.0000 0.0000 0.0000 25.6007 0.0000 0.0000 0.0000 3.6026" Properties=species:S:1:pos:R:3 pbc="T T T"
Ca 0.0000 5.3982 0.0000
Ca 0.0000 20.2025 0.0000
Ca 2.7572 7.4021 0.0000
Ca 2.7572 18.1986 0.0000
La 0.0000 12.8004 1.8013
La 2.7572 0.0000 1.8013
Pm 0.0000 1.8066 0.0000
Pm 0.0000 9.2115 1.8013
Pm 0.0000 16.3892 1.8013
Pm 0.0000 23.7941 0.0000
Pm 2.7572 3.5889 1.8013
Pm 2.7572 10.9937 0.0000
Pm 2.7572 14.6070 0.0000
Pm 2.7572 22.0118 1.8013
```

Properties
SG: No. 65
Total magnetic moment, μB per formula unit: 0.00

=====

two | Below is an optimized crystal structure of Ca2LaPm4, with properties calculated at the GGA-PBE level.

Structure (extended XYZ):
```
14
Lattice="5.6966 0.0000 0.0000 0.0000 5.6966 0.0000 0.0000 0.0000 17.8848" Properties=species:S:1:pos:R:3 pbc="T T T"
Ca 0.0000 0.0000 2.2851
Ca 0.0000 0.0000 15.5997
Ca 2.8483 2.8483 6.6573
Ca 2.8483 2.8483 11.2275
La 0.0000 0.0000 8.9424
La 2.8483 2.8483 0.0000
Pm 0.0000 0.0000 5.8791
Pm 0.0000 0.0000 12.0057
Pm 0.0000 2.8483 0.0000
Pm 0.0000 2.8483 8.9424
Pm 2.8483 0.0000 0.0000
Pm 2.8483 0.0000 8.9424
Pm 2.8483 2.8483 3.0633
Pm 2.8483 2.8483 14.8215
```

Properties
SG: No. 139
Total magnetic moment, μB per formula unit: 0.01

=====

Verdict on stability: one comes out on top.

=====

one | Below is an optimized crystal structure of CaLa2Pm2, with properties calculated at the GGA-PBE level.

Structure (extended XYZ):
```
15
Lattice="3.7162 0.0000 0.0000 -1.8581 3.2183 0.0000 0.0000 0.0000 46.1938" Properties=species:S:1:pos:R:3 pbc="T T T"
Ca 0.0000 0.0000 0.0000
Ca 0.0000 2.1456 30.7959
Ca 1.8581 1.0728 15.3979
La 0.0000 0.0000 18.6566
La 0.0000 0.0000 27.5372
La 0.0000 2.1456 3.2586
La 0.0000 2.1456 12.1393
La 1.8581 1.0728 34.0545
La 1.8581 1.0728 42.9351
Pm 0.0000 0.0000 9.1907
Pm 0.0000 0.0000 37.0031
Pm 0.0000 2.1456 21.6052
Pm 0.0000 2.1456 39.9866
Pm 1.8581 1.0728 6.2072
Pm 1.8581 1.0728 24.5886
```

Properties
SG: No. 166
Total magnetic moment, μB per formula unit: 0.00

=====

two | Below is an optimized crystal structure of CaLa2Pm2, with properties calculated at the GGA-PBE level.

Structure (extended XYZ):
```
5
Lattice="5.8809 0.0000 0.0000 0.0000 3.6032 0.0000 -2.9223 0.0000 8.7727" Properties=species:S:1:pos:R:3 pbc="T T T"
Ca 0.0000 0.0000 0.0000
La 0.0142 0.0000 3.6316
La 2.9444 0.0000 5.1411
Pm 0.0068 1.8016 6.8603
Pm 2.9518 1.8016 1.9124
```

Properties
SG: No. 10
Total magnetic moment, μB per formula unit: 0.00

=====

Verdict on stability: one comes out on top.

=====

one | Below is an optimized crystal structure of Ca2La4Pm, with properties calculated at the GGA-PBE level.

Structure (extended XYZ):
```
14
Lattice="5.8641 0.0000 0.0000 0.0000 5.8641 0.0000 0.0000 0.0000 18.2758" Properties=species:S:1:pos:R:3 pbc="T T T"
Ca 0.0000 0.0000 2.3149
Ca 0.0000 0.0000 15.9609
Ca 2.9320 2.9320 6.8230
Ca 2.9320 2.9320 11.4529
La 0.0000 0.0000 6.0237
La 0.0000 0.0000 12.2521
La 0.0000 2.9320 0.0000
La 0.0000 2.9320 9.1379
La 2.9320 0.0000 0.0000
La 2.9320 0.0000 9.1379
La 2.9320 2.9320 3.1142
La 2.9320 2.9320 15.1616
Pm 0.0000 0.0000 9.1379
Pm 2.9320 2.9320 0.0000
```

Properties
SG: No. 139
Total magnetic moment, μB per formula unit: 1.47

=====

two | Below is an optimized crystal structure of Ca2La4Pm, with properties calculated at the GGA-PBE level.

Structure (extended XYZ):
```
14
Lattice="5.6068 0.0000 0.0000 0.0000 25.8902 0.0000 0.0000 0.0000 3.6342" Properties=species:S:1:pos:R:3 pbc="T T T"
Ca 0.0000 5.4633 0.0000
Ca 0.0000 20.4269 0.0000
Ca 2.8034 7.4818 0.0000
Ca 2.8034 18.4083 0.0000
La 0.0000 1.8146 0.0000
La 0.0000 9.4033 1.8171
La 0.0000 16.4869 1.8171
La 0.0000 24.0756 0.0000
La 2.8034 3.5418 1.8171
La 2.8034 11.1305 0.0000
La 2.8034 14.7597 0.0000
La 2.8034 22.3484 1.8171
Pm 0.0000 12.9451 1.8171
Pm 2.8034 0.0000 1.8171
```

Properties
SG: No. 65
Total magnetic moment, μB per formula unit: 0.00

=====

Verdict on stability: two comes out on top.

=====

one | Below is an optimized crystal structure of Ca2LaPm, with properties calculated at the GGA-PBE level.

Structure (extended XYZ):
```
12
Lattice="3.6295 0.0000 0.0000 -1.8147 3.1432 0.0000 0.0000 0.0000 40.4271" Properties=species:S:1:pos:R:3 pbc="T T T"
Ca 0.0000 0.0000 3.5252
Ca 0.0000 0.0000 36.9020
Ca 0.0000 2.0955 23.4262
Ca 0.0000 2.0955 30.4766
Ca 1.8147 1.0477 9.9505
Ca 1.8147 1.0477 17.0009
La 0.0000 0.0000 20.2136
La 0.0000 2.0955 6.7379
La 1.8147 1.0477 33.6893
Pm 0.0000 0.0000 0.0000
Pm 0.0000 2.0955 26.9514
Pm 1.8147 1.0477 13.4757
```

Properties
SG: No. 166
Total magnetic moment, μB per formula unit: 0.61

=====

two | Below is an optimized crystal structure of Ca2LaPm, with properties calculated at the GGA-PBE level.

Structure (extended XYZ):
```
16
Lattice="8.4886 0.0000 0.0000 0.0000 8.4886 0.0000 0.0000 0.0000 8.4886" Properties=species:S:1:pos:R:3 pbc="T T T"
Ca 2.1222 2.1222 2.1222
Ca 2.1222 2.1222 6.3665
Ca 2.1222 6.3665 2.1222
Ca 2.1222 6.3665 6.3665
Ca 6.3665 2.1222 2.1222
Ca 6.3665 2.1222 6.3665
Ca 6.3665 6.3665 2.1222
Ca 6.3665 6.3665 6.3665
La 0.0000 0.0000 0.0000
La 0.0000 4.2443 4.2443
La 4.2443 0.0000 4.2443
La 4.2443 4.2443 0.0000
Pm 0.0000 0.0000 4.2443
Pm 0.0000 4.2443 0.0000
Pm 4.2443 0.0000 0.0000
Pm 4.2443 4.2443 4.2443
```

Properties
SG: No. 225
Total magnetic moment, μB per formula unit: 0.00

=====

three | Below is an optimized crystal structure of Ca2LaPm, with properties calculated at the GGA-PBE level.

Structure (extended XYZ):
```
4
Lattice="3.7798 0.0000 0.0000 0.0000 3.7798 0.0000 0.0000 0.0000 10.8270" Properties=species:S:1:pos:R:3 pbc="T T T"
Ca 0.0000 0.0000 0.0000
Ca 1.8899 1.8899 2.8817
La 1.8899 1.8899 7.9920
Pm 0.0000 0.0000 5.5854
```

Properties
SG: No. 99
Total magnetic moment, μB per formula unit: 0.00

=====

Verdict on stability: three comes out on top.

=====

one | Below is an optimized crystal structure of Ca2LaPm, with properties calculated at the GGA-PBE level.

Structure (extended XYZ):
```
4
Lattice="4.2424 0.0000 0.0000 0.0000 4.2424 0.0000 0.0000 0.0000 8.5077" Properties=species:S:1:pos:R:3 pbc="T T T"
Ca 0.0000 0.0000 2.0687
Ca 0.0000 0.0000 6.4389
La 2.1212 2.1212 4.2538
Pm 2.1212 2.1212 0.0000
```

Properties
SG: No. 123
Total magnetic moment, μB per formula unit: 0.00

=====

two | Below is an optimized crystal structure of Ca2LaPm, with properties calculated at the GGA-PBE level.

Structure (extended XYZ):
```
12
Lattice="3.7344 0.0000 0.0000 -1.8672 3.2340 0.0000 0.0000 0.0000 37.6312" Properties=species:S:1:pos:R:3 pbc="T T T"
Ca 0.0000 0.0000 0.0000
Ca 0.0000 0.0000 6.1691
Ca 0.0000 2.1560 25.0875
Ca 0.0000 2.1560 31.2565
Ca 1.8672 1.0780 12.5437
Ca 1.8672 1.0780 18.7128
La 0.0000 0.0000 21.8918
La 0.0000 2.1560 9.3481
La 1.8672 1.0780 34.4356
Pm 0.0000 0.0000 15.6370
Pm 0.0000 2.1560 3.0933
Pm 1.8672 1.0780 28.1808
```

Properties
SG: No. 160
Total magnetic moment, μB per formula unit: 0.11

=====

Verdict on stability: two comes out on top.